Compound: La3Sm8Th2
Source: Alexandria
Functional: PBE
Structure: relaxed

Structure (POSCAR):
```
La3Sm8Th2
1.0
7.0917 0.0000 0.0000
1.8540 8.4225 0.0000
1.9215 -0.3158 15.4644
La Sm Th
6 16 4
Cartesian
0.0000 0.0000 0.0000
1.8877 4.0534 7.7322
2.7227 0.4036 2.9908
4.4847 3.7175 4.6859
6.3826 4.3893 10.7785
8.1446 7.7032 12.4737
2.7533 4.5647 11.1000
2.6972 5.7915 2.2091
4.5650 7.4809 11.9622
2.7000 0.9745 6.5689
4.5487 6.5757 8.5546
4.4613 2.2307 13.4156
4.4404 1.4766 9.8636
6.3398 5.3386 14.4576
4.5274 2.7681 1.0068
6.4268 6.6302 5.6008
6.4059 5.8760 2.0488
6.3185 1.5311 6.9098
8.1673 7.1323 8.8955
6.3022 0.6259 3.5022
8.1700 2.3152 13.2553
8.1139 3.5420 4.3644
0.8640 2.9782 1.0857
2.7434 6.7447 5.5419
8.1238 1.3621 9.9225
10.0033 5.1286 14.3787
```

## Properties
- Energy relative to the elements: 0.139 eV per atom
- Magnetization: 0.00 μB/f.u.



Compound: DyCd8Ag2
Source: Alexandria
Functional: PBE
Structure: relaxed

Structure (POSCAR):
```
DyCd8Ag2
1.0
4.0708 -6.3460 0.0000
4.0708 6.3460 0.0000
-1.7433 0.0000 5.0154
Dy Cd Ag
1 8 2
Cartesian
0.0000 0.0000 0.0000
0.5477 1.4884 3.1655
4.0708 3.2271 0.0000
0.5477 -1.4884 3.1655
2.9352 0.0000 0.9789
3.4631 0.0000 4.0365
5.8506 1.4884 1.8500
4.0708 -3.2271 0.0000
5.8506 -1.4884 1.8500
3.1991 2.4340 2.5077
3.1991 -2.4340 2.5077
```

## Properties
- Energy relative to the elements: -0.001 eV per atom
- Magnetization: 0.00 μB/f.u.